Below is a geometry-optimized HoHfCS structure, with properties calculated at the PBE-GGA level.

Cell: 3.4983 3.4983 12.5248 Å, 90.00 90.00 120.00°
Closest atoms and distances in Å follow each position.
Fractional coordinates of all 8 atoms:
C  0.0000  0.0000  0.4882  3 Hf 2.31, 3 Ho 2.48
C  0.0000  0.0000  0.9882  3 Hf 2.31, 3 Ho 2.48
Hf  0.6667  0.3333  0.3989  3 C 2.31
Hf  0.3333  0.6667  0.8989  3 C 2.31
Ho  0.6667  0.3333  0.1035  3 C 2.48
Ho  0.3333  0.6667  0.6035  3 C 2.48
S  0.3333  0.6667  0.2594  3 Hf 2.67, 3 Ho 2.81
S  0.6667  0.3333  0.7594  3 Hf 2.67, 3 Ho 2.81

Results
total magnetization	0.00	μB per atom
E above lowest polymorph	0.0	meV per atom